Entry 1:
K2Cu2OsO6 | PBE | optimized geometry

a = 5.8634 Å, b = 5.8634 Å, c = 6.4018 Å
α = 62.74°, β = 62.74°, γ = 60.00°
Element x y z (fractional)
1 K 0.7845 0.7845 0.6466
2 K 0.2155 0.2155 0.3534
3 Cu 0.4070 0.4070 0.7789
4 Cu 0.5930 0.5930 0.2211
5 Os 0.0000 0.0000 0.0000
6 O 0.7799 0.7799 0.2088
7 O 0.2314 0.7799 0.2088
8 O 0.7799 0.2314 0.2088
9 O 0.2201 0.7686 0.7912
10 O 0.7686 0.2201 0.7912
11 O 0.2201 0.2201 0.7912

Summary:
Formation energy (no corrections): -1079.6 meV per atom
Calculated total energy: -5.7493 eV per atom
DOS at the Fermi energy: 6.151 states/eV/cell
SG: R-3m (166)
Total magnetization: 0.0 μB per formula unit

Entry 2:
Pa2TcBi | PBE | optimized geometry

a = 3.2618 Å, b = 3.2618 Å, c = 10.4306 Å
α = 81.00°, β = 81.00°, γ = 60.00°
Element x y z (fractional)
1 Pa 0.7381 0.7381 0.7858
2 Pa 0.2619 0.2619 0.2142
3 Bi 0.5000 0.5000 0.5000
4 Tc 0.0000 0.0000 0.0000

Summary:
Energy above the lowest structure with this stoichiometry: 0.222 eV/atom
Calculated total energy: -8.2983 eV per atom
DOS at the Fermi energy: 5.476 states/eV/cell
SG: R-3m (166)
Formation energy: 0.011 eV/atom
Total magnetization: 0.0 μB per formula unit

Entry 3:
In6PbBr12 | PBE | optimized geometry

a = 9.7040 Å, b = 9.7040 Å, c = 9.7040 Å
α = 107.29°, β = 107.29°, γ = 107.29°
Element x y z (fractional)
1 In 0.2878 0.3480 0.5282
2 In 0.6520 0.4718 0.7122
3 In 0.4718 0.7122 0.6520
4 In 0.7122 0.6520 0.4718
5 In 0.3480 0.5282 0.2878
6 In 0.5282 0.2878 0.3480
7 Pb 0.0000 0.0000 0.0000
8 Br 0.4268 0.2795 0.7775
9 Br 0.2795 0.7775 0.4268
10 Br 0.7775 0.4268 0.2795
11 Br 0.5732 0.7205 0.2225
12 Br 0.7205 0.2225 0.5732
13 Br 0.2225 0.5732 0.7205
14 Br 0.9862 0.8980 0.6614
15 Br 0.3386 0.0138 0.1020
16 Br 0.1020 0.3386 0.0138
17 Br 0.0138 0.1020 0.3386
18 Br 0.6614 0.9862 0.8980
19 Br 0.8980 0.6614 0.9862

Summary:
Formation energy (no corrections): -643.2 meV per atom
Calculated total energy: -2.7597 eV per atom
SG: R-3 (148)
Total magnetization: 0.0 μB per formula unit

Entry 4:
PmDyPtRh | PBE | optimized geometry

a = 4.9601 Å, b = 4.9601 Å, c = 4.9601 Å
α = 60.00°, β = 60.00°, γ = 60.00°
Element x y z (fractional)
1 Pm 0.5000 0.5000 0.5000
2 Rh 0.2500 0.2500 0.2500
3 Pt 0.7500 0.7500 0.7500
4 Dy 0.0000 0.0000 0.0000

Summary:
Energy above the lowest structure with this stoichiometry: 0.045 eV/atom
Calculated total energy: -6.6447 eV per atom
DOS at the Fermi energy: 2.066 states/eV/cell
SG: F-43m (216)
Formation energy: -0.958 eV/atom
Total magnetization: 0.0 μB per formula unit

Entry 5:
CsRb2BiO4 | PBE | optimized geometry

a = 8.2439 Å, b = 8.2439 Å, c = 7.5521 Å
α = 117.26°, β = 117.26°, γ = 101.51°
Element x y z (fractional)
1 Cs 0.0000 0.5000 0.0000
2 Cs 0.0000 0.5000 0.5000
3 Rb 0.5000 0.0000 0.0000
4 Rb 0.5000 0.0000 0.5000
5 Rb 0.0000 0.0000 0.5000
6 Rb 0.5000 0.5000 0.0000
7 Bi 0.5000 0.5000 0.5000
8 Bi 0.0000 0.0000 0.0000
9 O 0.1684 0.8460 0.0072
10 O 0.6540 0.3316 0.4928
11 O 0.3460 0.6684 0.5072
12 O 0.8316 0.1540 0.9928
13 O 0.7508 0.7493 0.9497
14 O 0.7508 0.7492 0.5503
15 O 0.2492 0.2508 0.4497
16 O 0.2492 0.2507 0.0503

Summary:
Formation energy (no corrections): -1110.6 meV per atom
Calculated total energy: -4.4234 eV per atom
SG: Imma (74)
Total magnetization: 0.0 μB per formula unit

Entry 6:
ThMn3Fe3 | PBE | optimized geometry

a = 6.0629 Å, b = 6.0629 Å, c = 6.0629 Å
α = 90.00°, β = 90.00°, γ = 90.00°
Last column: magnetic moment on the atom in μB.
Element x y z (fractional)
1 Mn 0.0000 0.2500 0.5000  0.49
2 Mn 0.0000 0.7500 0.5000  0.49
3 Mn 0.5000 0.0000 0.7500  0.49
4 Mn 0.7500 0.5000 0.0000  0.49
5 Mn 0.5000 0.0000 0.2500  0.49
6 Mn 0.2500 0.5000 0.0000  0.49
7 Fe 0.2500 0.0000 0.5000  -0.22
8 Fe 0.0000 0.5000 0.2500  -0.22
9 Fe 0.5000 0.7500 0.0000  -0.22
10 Fe 0.7500 0.0000 0.5000  -0.22
11 Fe 0.0000 0.5000 0.7500  -0.22
12 Fe 0.5000 0.2500 0.0000  -0.22
13 Th 0.5000 0.5000 0.5000  0.01
14 Th 0.0000 0.0000 0.0000  0.01

Summary:
Calculated total energy: -8.1065 eV per atom
DOS at the Fermi energy: 24.360 states/eV/cell
SG: Pm-3n (223)
Formation energy: 0.510 eV/atom
Total magnetization: 0.9 μB per formula unit

Entry 7:
CsPuIn2Cl6 | PBE | optimized geometry

a = 7.9805 Å, b = 7.9793 Å, c = 8.3509 Å
α = 61.37°, β = 61.36°, γ = 59.86°
Last column: magnetic moment on the atom in μB.
Element x y z (fractional)
1 Cs 0.8064 0.8069 0.5797  0.00
2 Pu 0.3233 0.3233 0.0299  5.03
3 In 0.5237 0.5238 0.4291  0.00
4 In 0.0126 0.0128 0.9618  0.00
5 Cl 0.5580 0.2249 0.2356  -0.02
6 Cl 0.2246 0.9813 0.2363  -0.02
7 Cl 0.9810 0.5589 0.2355  -0.02
8 Cl 0.3787 0.6862 0.7685  -0.02
9 Cl 0.6870 0.1650 0.7696  -0.02
10 Cl 0.1663 0.3786 0.7691  -0.02

Summary:
Formation energy (no corrections): -1503.5 meV per atom
Calculated total energy: -4.6777 eV per atom
DOS at the Fermi energy: 9.355 states/eV/cell
SG: P1 (1)
Total magnetization: 5.0 μB per formula unit

Entry 8:
KHg2Br | PBE | optimized geometry

a = 4.4819 Å, b = 4.4868 Å, c = 7.8327 Å
α = 90.00°, β = 90.00°, γ = 90.00°
Element x y z (fractional)
1 Br 0.5000 0.5000 0.6636
2 Hg 0.0000 0.0000 0.0610
3 Hg 0.5000 0.5000 0.1852
4 K 0.0000 0.0000 0.5902

Summary:
Formation energy (no corrections): -763.5 meV per atom
Energy above the lowest structure with this stoichiometry: 0.007 eV/atom
Calculated total energy: -1.6070 eV per atom
SG: P4mm (99)
Total magnetization: 0.0 μB per formula unit

Entry 9:
NaY2Tc | PBE | optimized geometry

a = 8.0986 Å, b = 8.0986 Å, c = 8.1074 Å
α = 60.04°, β = 60.04°, γ = 90.00°
Element x y z (fractional)
1 Y 0.8773 0.1250 0.2500
2 Y 0.8727 0.6250 0.2500
3 Y 0.3750 0.1227 0.7500
4 Y 0.8750 0.1273 0.7500
5 Na 0.5000 0.5000 0.0000
6 Na 0.2500 0.7500 0.5000
7 Tc 0.0000 0.0000 0.0000
8 Tc 0.7500 0.2500 0.5000

Summary:
Energy above the lowest structure with this stoichiometry: 0.782 eV/atom
Calculated total energy: -5.3515 eV per atom
DOS at the Fermi energy: 2.253 states/eV/cell
SG: I-42d (122)
Formation energy: 0.802 eV/atom
Total magnetization: 0.0 μB per formula unit

Entry 10:
LiTbAg4 | PBE | optimized geometry

a = 4.0833 Å, b = 4.0935 Å, c = 7.8220 Å
α = 90.00°, β = 90.00°, γ = 90.02°
Element x y z (fractional)
1 Li 0.0017 0.9964 0.4979
2 Tb 0.5010 0.4980 0.9983
3 Ag 0.5013 0.9977 0.2872
4 Ag 0.5015 0.9974 0.7091
5 Ag 0.0013 0.4970 0.7086
6 Ag 0.0011 0.4972 0.2877

Summary:
Energy above the lowest structure with this stoichiometry: 0.207 eV/atom
Calculated total energy: -2.9507 eV per atom
DOS at the Fermi energy: 3.017 states/eV/cell
SG: Pmm2 (25)
Formation energy: 0.041 eV/atom
Total magnetization: 0.0 μB per formula unit

Entry 11:
ZrIrCl | PBE | optimized geometry

a = 3.3794 Å, b = 3.2067 Å, c = 6.3119 Å
α = 90.00°, β = 105.34°, γ = 90.00°
Element x y z (fractional)
1 Ir 0.6159 0.0000 0.8416
2 Zr 0.0063 0.5000 0.6196
3 Cl 0.8388 0.0000 0.2778

Summary:
Formation energy (no corrections): -779.8 meV per atom
Energy above the lowest structure with this stoichiometry: 0.264 eV/atom
Calculated total energy: -7.1984 eV per atom
DOS at the Fermi energy: 0.541 states/eV/cell
SG: Pm (6)
Total magnetization: 0.0 μB per formula unit

Entry 12:
K2PdAuCl | PBE | optimized geometry

a = 6.4105 Å, b = 4.8309 Å, c = 6.4105 Å
α = 90.00°, β = 90.00°, γ = 90.00°
Element x y z (fractional)
1 K 0.0000 0.0000 0.5000
2 K 0.5000 0.0000 0.0000
3 Au 0.0000 0.0000 0.0000
4 Pd 0.5000 0.5000 0.5000
5 Cl 0.0000 0.5000 0.0000

Summary:
Formation energy (no corrections): 25.4 meV per atom
Calculated total energy: -2.4770 eV per atom
DOS at the Fermi energy: 2.240 states/eV/cell
SG: P4/mmm (123)
Total magnetization: 0.0 μB per formula unit

Q: Which of these has the lowest calculated total energy?
A: Pa2TcBi

Q: Look up the calculated total energy of the eighth one.
A: -1.6070 eV per atom